w | {"formula": "GeSbW3", "functional": "PBE", "state": "optimized geometry", "rho_g_cm3": 10.435, "cell": [[4.914, 0.000, 0.000], [0.000, 4.914, 0.000], [0.000, 0.000, 4.914]], "species": ["Ge", "Sb", "W", "W", "W"], "frac_coords": [[0.000, 0.000, 0.000], [0.500, 0.500, 0.500], [0.000, 0.500, 0.500], [0.500, 0.000, 0.500], [0.500, 0.500, 0.000]]}

x | {"formula": "GeSbW3", "functional": "PBE", "state": "optimized geometry", "rho_g_cm3": 12.259, "cell": [[4.658, 0.000, 0.000], [0.000, 4.658, 0.000], [0.000, 0.000, 4.658]], "species": ["Ge", "Sb", "W", "W", "W"], "frac_coords": [[0.000, 0.000, 0.000], [0.500, 0.500, 0.500], [0.000, 0.000, 0.500], [0.000, 0.500, 0.000], [0.500, 0.000, 0.000]]}

Most stable: x

w | {"formula": "YGeSb3", "functional": "PBE", "state": "optimized geometry", "rho_g_cm3": 5.801, "cell": [[5.323, 0.000, 0.000], [0.000, 5.323, 0.000], [0.000, 0.000, 5.323]], "species": ["Y", "Ge", "Sb", "Sb", "Sb"], "frac_coords": [[0.000, 0.000, 0.000], [0.500, 0.500, 0.500], [0.000, 0.500, 0.500], [0.500, 0.000, 0.500], [0.500, 0.500, 0.000]]}

x | {"formula": "YGeSb3", "functional": "PBE", "state": "optimized geometry", "rho_g_cm3": 4.636, "cell": [[5.736, 0.000, 0.000], [0.000, 5.736, 0.000], [0.000, 0.000, 5.736]], "species": ["Y", "Ge", "Sb", "Sb", "Sb"], "frac_coords": [[0.000, 0.000, 0.000], [0.500, 0.500, 0.500], [0.000, 0.000, 0.500], [0.000, 0.500, 0.000], [0.500, 0.000, 0.000]]}

Most stable: w

w | {"formula": "Y2GeSb", "functional": "PBE", "state": "optimized geometry", "rho_g_cm3": 5.659, "cell": [[7.948, 0.000, 0.000], [0.000, 7.948, 0.000], [0.000, 0.000, 6.916]], "species": ["Y", "Y", "Y", "Y", "Y", "Y", "Y", "Y", "Ge", "Ge", "Ge", "Ge", "Sb", "Sb", "Sb", "Sb"], "frac_coords": [[0.230, 0.250, 0.125], [0.250, 0.730, 0.375], [0.250, 0.770, 0.875], [0.270, 0.250, 0.625], [0.730, 0.750, 0.625], [0.750, 0.230, 0.875], [0.750, 0.270, 0.375], [0.770, 0.750, 0.125], [0.000, 0.000, 0.000], [0.000, 0.500, 0.250], [0.500, 0.000, 0.750], [0.500, 0.500, 0.500], [0.000, 0.000, 0.500], [0.000, 0.500, 0.750], [0.500, 0.000, 0.250], [0.500, 0.500, 0.000]]}

x | {"formula": "Y2GeSb", "functional": "PBE", "state": "optimized geometry", "rho_g_cm3": 6.041, "cell": [[7.425, 0.000, 0.000], [0.000, 7.425, 0.000], [0.000, 0.000, 7.425]], "species": ["Y", "Y", "Y", "Y", "Y", "Y", "Y", "Y", "Ge", "Ge", "Ge", "Ge", "Sb", "Sb", "Sb", "Sb"], "frac_coords": [[0.250, 0.250, 0.250], [0.250, 0.250, 0.750], [0.250, 0.750, 0.250], [0.250, 0.750, 0.750], [0.750, 0.250, 0.250], [0.750, 0.250, 0.750], [0.750, 0.750, 0.250], [0.750, 0.750, 0.750], [0.000, 0.000, 0.000], [0.000, 0.500, 0.500], [0.500, 0.000, 0.500], [0.500, 0.500, 0.000], [0.000, 0.000, 0.500], [0.000, 0.500, 0.000], [0.500, 0.000, 0.000], [0.500, 0.500, 0.500]]}

Most stable: w

w | {"formula": "Y2GeSb2", "functional": "PBE", "state": "optimized geometry", "rho_g_cm3": 6.069, "cell": [[7.913, 0.000, 0.000], [0.000, 7.913, 0.000], [0.000, 0.000, 4.316]], "species": ["Y", "Y", "Y", "Y", "Ge", "Ge", "Sb", "Sb", "Sb", "Sb"], "frac_coords": [[0.160, 0.340, 0.000], [0.340, 0.840, 0.000], [0.660, 0.160, 0.000], [0.840, 0.660, 0.000], [0.000, 0.000, 0.000], [0.500, 0.500, 0.000], [0.153, 0.653, 0.500], [0.347, 0.153, 0.500], [0.653, 0.847, 0.500], [0.847, 0.347, 0.500]]}

x | {"formula": "Y2GeSb2", "functional": "PBE", "state": "optimized geometry", "rho_g_cm3": 6.036, "cell": [[8.095, 0.000, 0.000], [0.000, 8.095, 0.000], [0.000, 0.000, 4.148]], "species": ["Y", "Y", "Y", "Y", "Ge", "Ge", "Sb", "Sb", "Sb", "Sb"], "frac_coords": [[0.154, 0.346, 0.000], [0.346, 0.846, 0.000], [0.654, 0.154, 0.000], [0.846, 0.654, 0.000], [0.000, 0.000, 0.500], [0.500, 0.500, 0.500], [0.152, 0.652, 0.500], [0.348, 0.152, 0.500], [0.652, 0.848, 0.500], [0.848, 0.348, 0.500]]}

Most stable: x

w | {"formula": "ZnGe3Sb", "functional": "PBE", "state": "optimized geometry", "rho_g_cm3": 5.777, "cell": [[4.883, 0.000, 0.000], [0.000, 4.883, 0.000], [0.000, 0.000, 4.883]], "species": ["Zn", "Ge", "Ge", "Ge", "Sb"], "frac_coords": [[0.000, 0.000, 0.000], [0.000, 0.000, 0.500], [0.000, 0.500, 0.000], [0.500, 0.000, 0.000], [0.500, 0.500, 0.500]]}

x | {"formula": "ZnGe3Sb", "functional": "PBE", "state": "optimized geometry", "rho_g_cm3": 4.299, "cell": [[5.389, 0.000, 0.000], [0.000, 5.389, 0.000], [0.000, 0.000, 5.389]], "species": ["Zn", "Ge", "Ge", "Ge", "Sb"], "frac_coords": [[0.000, 0.000, 0.000], [0.000, 0.500, 0.500], [0.500, 0.000, 0.500], [0.500, 0.500, 0.000], [0.500, 0.500, 0.500]]}

Most stable: w

w | {"formula": "Zn3GeSb", "functional": "PBE", "state": "optimized geometry", "rho_g_cm3": 4.706, "cell": [[5.165, 0.000, 0.000], [0.000, 5.165, 0.000], [0.000, 0.000, 5.165]], "species": ["Zn", "Zn", "Zn", "Ge", "Sb"], "frac_coords": [[0.000, 0.000, 0.500], [0.000, 0.500, 0.000], [0.500, 0.000, 0.000], [0.500, 0.500, 0.500], [0.000, 0.000, 0.000]]}

x | {"formula": "Zn3GeSb", "functional": "PBE", "state": "optimized geometry", "rho_g_cm3": 5.701, "cell": [[4.846, 0.000, 0.000], [0.000, 4.846, 0.000], [0.000, 0.000, 4.846]], "species": ["Zn", "Zn", "Zn", "Ge", "Sb"], "frac_coords": [[0.000, 0.000, 0.500], [0.000, 0.500, 0.000], [0.500, 0.000, 0.000], [0.000, 0.000, 0.000], [0.500, 0.500, 0.500]]}

Most stable: x

w | {"formula": "ZrGeSb", "functional": "PBE", "state": "optimized geometry", "rho_g_cm3": 6.411, "cell": [[11.999, 0.000, 0.000], [0.000, 3.885, 0.000], [-2.085, 0.000, 6.348]], "species": ["Zr", "Zr", "Zr", "Zr", "Ge", "Ge", "Ge", "Ge", "Sb", "Sb", "Sb", "Sb"], "frac_coords": [[0.131, 0.000, 0.482], [0.369, 0.500, 0.518], [0.631, 0.500, 0.482], [0.869, 0.000, 0.518], [0.158, 0.500, 0.196], [0.342, 0.000, 0.804], [0.658, 0.000, 0.196], [0.842, 0.500, 0.804], [0.067, 0.500, 0.769], [0.433, 0.000, 0.231], [0.567, 0.000, 0.769], [0.933, 0.500, 0.231]]}

x | {"formula": "ZrGeSb", "functional": "PBE", "state": "optimized geometry", "rho_g_cm3": 7.372, "cell": [[3.846, 0.000, 0.000], [0.000, 3.846, 0.000], [0.000, 0.000, 8.699]], "species": ["Zr", "Zr", "Ge", "Ge", "Sb", "Sb"], "frac_coords": [[0.250, 0.250, 0.250], [0.750, 0.750, 0.750], [0.250, 0.750, 0.000], [0.750, 0.250, 0.000], [0.250, 0.250, 0.612], [0.750, 0.750, 0.388]]}

Most stable: x